1.
Ta4Ir: optimized geometry, PBEsol.

abc: 3.3044 5.3018 5.3018
angles: 84.43 71.84 71.84
Fractional positions:
Ir  0.0000  0.0000  0.0000
Ta  0.5995  0.6023  0.1986
Ta  0.7981  0.8014  0.6023
Ta  0.4005  0.3977  0.8014
Ta  0.2019  0.1986  0.3977

Results
crystal system	tetragonal


2.
TaIr7: optimized geometry, PBEsol.

abc: 5.4543 5.4543 5.4543
angles: 60.00 60.00 60.00
Fractional positions:
Ir  0.5000  0.5000  0.0000
Ir  0.0000  0.5000  0.0000
Ir  0.0000  0.5000  0.5000
Ir  0.0000  0.0000  0.5000
Ir  0.5000  0.0000  0.5000
Ir  0.5000  0.0000  0.0000
Ir  0.5000  0.5000  0.5000
Ta  0.0000  0.0000  0.0000

Results
crystal system	cubic


3.
TaTcIr: optimized geometry, PBEsol.

abc: 2.7409 2.7409 6.3778
angles: 102.41 102.41 90.00
Fractional positions:
Ir  0.9909  0.9909  0.9818
Ta  0.6646  0.6646  0.3292
Tc  0.3445  0.3445  0.6890

Results
crystal system	tetragonal


no.,total DFT energy (no corrections) (eV/cell)
1,-61.5
2,-83.8
3,-34.4